Here is an optimized crystal structure of MnV2ZnO6 from Alexandria via LeMat-Bulk. Energies are from PBE+U.

The space group is C2/c (No. 15) and the conventional cell measures 10.000, 9.225 and 5.352 Å, with angles of 90.00, 99.20 and 90.00 degrees. Symmetry generates all atoms from Mn at (0.000, 0.091, 0.250), V at (0.199, 0.402, 0.290), Zn at (0.000, 0.281, 0.750), O at (0.111, 0.262, 0.106), O at (0.118, 0.092, 0.630) and O at (0.140, 0.428, 0.609).

The total energy comes out at -7.093 eV/atom. The crystal system is monoclinic.